(1)
DFT (PBE) results for a relaxed structure of CoS4.

Cell and atoms, written as POSCAR:
```
CoS4
1.0
4.387 0.000 0.000
0.000 4.387 0.000
0.000 0.000 4.387
Co S
1 4
direct
0.000 0.000 0.000
0.000 0.000 0.500
0.000 0.500 0.000
0.500 0.000 0.000
0.500 0.500 0.500
```

Values from the calculation:
Density of states at the Fermi level: 1.487 states/eV per atom
M_tot: 0.226 μB/cell
E_tot: -4.00 eV per atom
Formation energy from raw total energies: 0.725 eV/atom
Offset from the most stable computed form: 708 meV per atom
Volume: 84 Å³ per cell

(2)
DFT (PBE) results for a relaxed structure of MnCu2Te.

Cell and atoms, written as POSCAR:
```
MnCu2Te
1.0
4.147 -1.903 0.000
4.147 1.903 0.000
-1.316 0.000 4.214
Mn Cu Te
1 2 1
direct
0.000 0.000 0.000
0.260 0.260 0.747
0.534 0.534 0.615
0.749 0.749 0.276
```

Values from the calculation:
Density of states at the Fermi level: 0.464 states/eV per atom
M_tot: 3.684 μB/cell
E_tot: -4.89 eV per atom
Formation energy from raw total energies: 0.234 eV/atom
Volume: 67 Å³ per cell

(3)
DFT (PBE) results for a relaxed structure of CdPd3Br.

Cell and atoms, written as POSCAR:
```
CdPd3Br
1.0
4.791 0.000 0.000
0.000 4.791 0.000
0.000 0.000 4.791
Cd Pd Br
1 3 1
direct
0.000 0.000 0.000
0.000 0.500 0.500
0.500 0.000 0.500
0.500 0.500 0.000
0.500 0.500 0.500
```

Values from the calculation:
Density of states at the Fermi level: 1.069 states/eV per atom
M_tot: 0.000 μB/cell
E_tot: -3.20 eV per atom
Formation energy from raw total energies: 0.430 eV/atom
Offset from the most stable computed form: 0 meV per atom
Volume: 110 Å³ per cell

(4)
DFT (PBE) results for a relaxed structure of Ho3ThH8.

Cell and atoms, written as POSCAR:
```
Ho3ThH8
1.0
5.229 0.000 0.000
0.000 5.229 0.000
0.000 0.000 5.229
Ho Th H
3 1 8
direct
0.000 0.000 0.500
0.000 0.500 0.000
0.500 0.000 0.000
0.500 0.500 0.500
0.242 0.242 0.242
0.242 0.242 0.758
0.242 0.758 0.242
0.242 0.758 0.758
0.758 0.242 0.242
0.758 0.242 0.758
0.758 0.758 0.242
0.758 0.758 0.758
```

Values from the calculation:
Density of states at the Fermi level: 0.242 states/eV per atom
M_tot: 0.000 μB/cell
E_tot: -4.65 eV per atom
Volume: 143 Å³ per cell

(5)
DFT (PBE) results for a relaxed structure of Hf8TiIn2.

Cell and atoms, written as POSCAR:
```
Hf8TiIn2
1.0
3.850 -6.938 0.000
3.850 6.938 0.000
-2.453 0.000 4.607
Hf Ti In
8 1 2
direct
0.103 0.320 0.667
0.206 0.794 0.000
0.320 0.103 0.667
0.399 0.399 0.209
0.601 0.601 0.791
0.680 0.897 0.333
0.794 0.206 0.000
0.897 0.680 0.333
0.000 0.000 0.000
0.303 0.697 0.500
0.697 0.303 0.500
```

Values from the calculation:
Density of states at the Fermi level: 0.832 states/eV per atom
M_tot: 0.124 μB/cell
E_tot: -8.33 eV per atom
Energy of formation from the pure elements: 0.1196 eV/atom
Volume: 246 Å³ per cell

(6)
DFT (PBE) results for a relaxed structure of SrIn2Hg.

Cell and atoms, written as POSCAR:
```
SrIn2Hg
1.0
2.409 1.391 6.096
-2.409 1.391 6.096
0.000 -2.782 6.096
Sr In Hg
1 2 1
direct
0.000 0.000 0.000
0.223 0.223 0.223
0.777 0.777 0.777
0.500 0.500 0.500
```

Values from the calculation:
Density of states at the Fermi level: 0.618 states/eV per atom
M_tot: 0.000 μB/cell
E_tot: -2.14 eV per atom
Energy of formation from the pure elements: -0.2717 eV/atom
Volume: 123 Å³ per cell

(7)
DFT (PBE) results for a relaxed structure of AlCdSi.

Cell and atoms, written as POSCAR:
```
AlCdSi
1.0
4.568 0.000 0.000
-2.284 3.956 0.000
0.000 0.000 3.191
Al Cd Si
1 1 1
direct
0.000 0.000 0.000
0.333 0.667 0.501
0.667 0.333 0.004
```

Values from the calculation:
Density of states at the Fermi level: 0.361 states/eV per atom
M_tot: 0.000 μB/cell
E_tot: -3.02 eV per atom
Formation energy from raw total energies: 0.341 eV/atom
Volume: 58 Å³ per cell